# Sr4RuO7 PBE-GGA relaxed
data_Sr4RuO7
_chemical_formula_sum 'Sr8 Ru2 O14'
_cell_length_a 13.911
_cell_length_b 4.109
_cell_length_c 9.421
_cell_angle_alpha 90.00
_cell_angle_beta 130.35
_cell_angle_gamma 90.00
_space_group_name_H-M_alt 'C 1 2/m 1'
_space_group_IT_number 12
loop_
_space_group_symop_operation_xyz
'x,y,z'
'-x,-y,-z'
'-x,y,-z'
'x,-y,z'
'x+1/2,y+1/2,z'
'-x+1/2,-y+1/2,-z'
'-x+1/2,y+1/2,-z'
'x+1/2,-y+1/2,z'
loop_
_atom_site_label
_atom_site_fract_x
_atom_site_fract_y
_atom_site_fract_z
_atom_site_occupancy
Sr1 0.095 0.000 0.413 1
Sr2 0.249 0.500 0.847 1
Ru1 0.000 0.500 0.000 1
O1 0.000 0.000 0.000 1
O2 0.091 0.500 0.929 1
O3 0.130 0.000 0.727 1
O4 0.211 0.500 0.562 1
# - energy relative to the elements, uncorrected (meV/atom) = -1885


# SrRuO4 PBE-GGA relaxed
data_SrRuO4
_chemical_formula_sum 'Sr4 Ru4 O16'
_cell_length_a 7.789
_cell_length_b 7.789
_cell_length_c 6.829
_cell_angle_alpha 90.00
_cell_angle_beta 90.00
_cell_angle_gamma 90.00
_space_group_name_H-M_alt 'I 41/a m d'
_space_group_IT_number 141
loop_
_space_group_symop_operation_xyz
'x,y,z'
'-x,-y,-z'
'-y+1/4,x+3/4,z+1/4'
'y+1/4,-x+3/4,-z+1/4'
'-x+1/2,-y,z+1/2'
'x+1/2,y,-z+1/2'
'y+1/4,-x+1/4,z+3/4'
'-y+1/4,x+1/4,-z+3/4'
'x,-y,-z'
'-x,y,z'
'-y+1/4,-x+1/4,-z+3/4'
'y+1/4,x+1/4,z+3/4'
'-x+1/2,y,-z+1/2'
'x+1/2,-y,z+1/2'
'y+1/4,x+3/4,-z+1/4'
'-y+1/4,-x+3/4,z+1/4'
'x+1/2,y+1/2,z+1/2'
'-x+1/2,-y+1/2,-z+1/2'
'-y+3/4,x+1/4,z+3/4'
'y+3/4,-x+1/4,-z+3/4'
'-x,-y+1/2,z'
'x,y+1/2,-z'
'y+3/4,-x+3/4,z+1/4'
'-y+3/4,x+3/4,-z+1/4'
'x+1/2,-y+1/2,-z+1/2'
'-x+1/2,y+1/2,z+1/2'
'-y+3/4,-x+3/4,-z+1/4'
'y+3/4,x+3/4,z+1/4'
'-x,y+1/2,-z'
'x,-y+1/2,z'
'y+3/4,x+1/4,-z+3/4'
'-y+3/4,-x+1/4,z+3/4'
loop_
_atom_site_label
_atom_site_fract_x
_atom_site_fract_y
_atom_site_fract_z
_atom_site_occupancy
Sr1 0.000 0.250 0.375 1
Ru1 0.000 0.250 0.875 1
O1 0.000 0.071 0.709 1
# - energy relative to the elements, uncorrected (meV/atom) = -1597


# SrRuO3 PBE-GGA relaxed
data_SrRuO3
_chemical_formula_sum 'Sr2 Ru2 O6'
_cell_length_a 4.144
_cell_length_b 6.085
_cell_length_c 7.607
_cell_angle_alpha 90.00
_cell_angle_beta 90.20
_cell_angle_gamma 90.00
_space_group_name_H-M_alt 'P 1 21/m 1'
_space_group_IT_number 11
loop_
_space_group_symop_operation_xyz
'x,y,z'
'-x,-y,-z'
'-x,y+1/2,-z'
'x,-y+1/2,z'
loop_
_atom_site_label
_atom_site_fract_x
_atom_site_fract_y
_atom_site_fract_z
_atom_site_occupancy
Sr1 0.248 0.250 0.342 1
Ru1 0.252 0.250 0.791 1
O1 0.252 0.003 0.657 1
O2 0.253 0.250 0.022 1
# - energy relative to the elements, uncorrected (meV/atom) = -1570


# Sr2Ru3O8 PBE-GGA relaxed
data_Sr2Ru3O8
_chemical_formula_sum 'Sr4 Ru6 O16'
_cell_length_a 11.515
_cell_length_b 6.401
_cell_length_c 5.354
_cell_angle_alpha 90.00
_cell_angle_beta 110.88
_cell_angle_gamma 90.00
_space_group_name_H-M_alt 'C 1 2/m 1'
_space_group_IT_number 12
loop_
_space_group_symop_operation_xyz
'x,y,z'
'-x,-y,-z'
'-x,y,-z'
'x,-y,z'
'x+1/2,y+1/2,z'
'-x+1/2,-y+1/2,-z'
'-x+1/2,y+1/2,-z'
'x+1/2,-y+1/2,z'
loop_
_atom_site_label
_atom_site_fract_x
_atom_site_fract_y
_atom_site_fract_z
_atom_site_occupancy
Sr1 0.220 0.000 0.169 1
Ru1 0.000 0.239 0.500 1
Ru2 0.000 0.500 0.000 1
O1 0.089 0.500 0.405 1
O2 0.098 0.285 0.887 1
O3 0.109 0.000 0.486 1
# - energy relative to the elements, uncorrected (meV/atom) = -1564


# Sr2RuO4 PBE-GGA relaxed
data_Sr2RuO4
_chemical_formula_sum 'Sr16 Ru8 O32'
_cell_length_a 5.503
_cell_length_b 5.503
_cell_length_c 26.150
_cell_angle_alpha 90.00
_cell_angle_beta 90.00
_cell_angle_gamma 90.00
_space_group_name_H-M_alt 'I 41/a c d'
_space_group_IT_number 142
loop_
_space_group_symop_operation_xyz
'x,y,z'
'-x,-y,-z'
'-y+1/4,x+3/4,z+1/4'
'y+1/4,-x+3/4,-z+1/4'
'-x+1/2,-y,z+1/2'
'x+1/2,y,-z+1/2'
'y+1/4,-x+1/4,z+3/4'
'-y+1/4,x+1/4,-z+3/4'
'x,-y,-z+1/2'
'-x,y,z+1/2'
'-y+1/4,-x+1/4,-z+1/4'
'y+1/4,x+1/4,z+1/4'
'-x+1/2,y,-z'
'x+1/2,-y,z'
'y+1/4,x+3/4,-z+3/4'
'-y+1/4,-x+3/4,z+3/4'
'x+1/2,y+1/2,z+1/2'
'-x+1/2,-y+1/2,-z+1/2'
'-y+3/4,x+1/4,z+3/4'
'y+3/4,-x+1/4,-z+3/4'
'-x,-y+1/2,z'
'x,y+1/2,-z'
'y+3/4,-x+3/4,z+1/4'
'-y+3/4,x+3/4,-z+1/4'
'x+1/2,-y+1/2,-z'
'-x+1/2,y+1/2,z'
'-y+3/4,-x+3/4,-z+3/4'
'y+3/4,x+3/4,z+3/4'
'-x,y+1/2,-z+1/2'
'x,-y+1/2,z+1/2'
'y+3/4,x+1/4,-z+1/4'
'-y+3/4,-x+1/4,z+1/4'
loop_
_atom_site_label
_atom_site_fract_x
_atom_site_fract_y
_atom_site_fract_z
_atom_site_occupancy
Sr1 0.000 0.250 0.050 1
Ru1 0.000 0.250 0.375 1
O1 0.000 0.250 0.295 1
O2 0.208 0.042 0.125 1
# - energy relative to the elements, uncorrected (meV/atom) = -2080


# Sr3RuO5 PBE-GGA relaxed
data_Sr3RuO5
_chemical_formula_sum 'Sr12 Ru4 O20'
_cell_length_a 6.857
_cell_length_b 6.857
_cell_length_c 12.111
_cell_angle_alpha 90.00
_cell_angle_beta 90.00
_cell_angle_gamma 90.00
_space_group_name_H-M_alt 'I 4/m c m'
_space_group_IT_number 140
_space_group_name_Hall '-I 4 2c'
loop_
_atom_site_label
_atom_site_fract_x
_atom_site_fract_y
_atom_site_fract_z
_atom_site_occupancy
Sr1 0.000 0.000 0.250 1
Sr2 0.179 0.321 0.000 1
Ru1 0.000 0.500 0.250 1
O1 0.000 0.000 0.000 1
O2 0.142 0.358 0.357 1
# - energy relative to the elements, uncorrected (meV/atom) = -2021


# SrRuO3 PBE-GGA relaxed
data_SrRuO3
_chemical_formula_sum 'Sr4 Ru4 O12'
_cell_length_a 5.543
_cell_length_b 15.323
_cell_length_c 4.752
_cell_angle_alpha 90.00
_cell_angle_beta 90.00
_cell_angle_gamma 90.00
_space_group_name_H-M_alt 'C m c m'
_space_group_IT_number 63
_space_group_name_Hall '-C 2c 2'
loop_
_atom_site_label
_atom_site_fract_x
_atom_site_fract_y
_atom_site_fract_z
_atom_site_occupancy
Sr1 0.000 0.188 0.250 1
Ru1 0.000 0.406 0.250 1
O1 0.000 0.500 0.000 1
O2 0.249 0.322 0.250 1
# - energy relative to the elements, uncorrected (meV/atom) = -1362


# Sr3RuO8 PBE-GGA relaxed
data_Sr3RuO8
_chemical_formula_sum 'Sr6 Ru2 O16'
_cell_length_a 5.628
_cell_length_b 5.628
_cell_length_c 11.177
_cell_angle_alpha 90.00
_cell_angle_beta 90.00
_cell_angle_gamma 90.00
_space_group_name_H-M_alt 'I 4/m m m'
_space_group_IT_number 139
_space_group_name_Hall '-I 4 2'
loop_
_atom_site_label
_atom_site_fract_x
_atom_site_fract_y
_atom_site_fract_z
_atom_site_occupancy
Sr1 0.000 0.000 0.000 1
Sr2 0.000 0.500 0.250 1
Ru1 0.000 0.000 0.500 1
O1 0.209 0.209 0.393 1
# - energy relative to the elements, uncorrected (meV/atom) = -1345


# SrRuO3 PBE-GGA relaxed
data_SrRuO3
_chemical_formula_sum 'Sr8 Ru8 O24'
_cell_length_a 10.768
_cell_length_b 10.024
_cell_length_c 5.354
_cell_angle_alpha 90.00
_cell_angle_beta 94.52
_cell_angle_gamma 90.00
_space_group_name_H-M_alt 'C 1 2/c 1'
_space_group_IT_number 15
loop_
_space_group_symop_operation_xyz
'x,y,z'
'-x,-y,-z'
'-x,y,-z+1/2'
'x,-y,z+1/2'
'x+1/2,y+1/2,z'
'-x+1/2,-y+1/2,-z'
'-x+1/2,y+1/2,-z+1/2'
'x+1/2,-y+1/2,z+1/2'
loop_
_atom_site_label
_atom_site_fract_x
_atom_site_fract_y
_atom_site_fract_z
_atom_site_occupancy
Sr1 0.208 0.112 0.285 1
Ru1 0.000 0.247 0.750 1
Ru2 0.000 0.428 0.250 1
O1 0.094 0.292 0.453 1
O2 0.098 0.416 0.931 1
O3 0.130 0.120 0.842 1
# - energy relative to the elements, uncorrected (meV/atom) = -1682


# SrRuO3 PBE-GGA relaxed
data_SrRuO3
_chemical_formula_sum 'Sr4 Ru4 O12'
_cell_length_a 12.372
_cell_length_b 3.224
_cell_length_c 6.776
_cell_angle_alpha 90.00
_cell_angle_beta 100.52
_cell_angle_gamma 90.00
_space_group_name_H-M_alt 'C 1 2/m 1'
_space_group_IT_number 12
loop_
_space_group_symop_operation_xyz
'x,y,z'
'-x,-y,-z'
'-x,y,-z'
'x,-y,z'
'x+1/2,y+1/2,z'
'-x+1/2,-y+1/2,-z'
'-x+1/2,y+1/2,-z'
'x+1/2,-y+1/2,z'
loop_
_atom_site_label
_atom_site_fract_x
_atom_site_fract_y
_atom_site_fract_z
_atom_site_occupancy
Sr1 0.100 0.000 0.374 1
Ru1 0.200 0.500 0.857 1
O1 0.066 0.500 0.666 1
O2 0.140 0.000 0.002 1
O3 0.249 0.000 0.698 1
# - energy relative to the elements, uncorrected (meV/atom) = -1695


# Sr2RuO4 PBE-GGA relaxed
data_Sr2RuO4
_chemical_formula_sum 'Sr4 Ru2 O8'
_cell_length_a 3.911
_cell_length_b 3.911
_cell_length_c 12.900
_cell_angle_alpha 90.00
_cell_angle_beta 90.00
_cell_angle_gamma 90.00
_space_group_name_H-M_alt 'I 4/m m m'
_space_group_IT_number 139
_space_group_name_Hall '-I 4 2'
loop_
_atom_site_label
_atom_site_fract_x
_atom_site_fract_y
_atom_site_fract_z
_atom_site_occupancy
Sr1 0.000 0.000 0.148 1
Ru1 0.000 0.000 0.500 1
O1 0.000 0.000 0.337 1
O2 0.000 0.500 0.000 1
# - energy relative to the elements, uncorrected (meV/atom) = -2076


# Sr4Ru2O9 PBE-GGA relaxed
data_Sr4Ru2O9
_chemical_formula_sum 'Sr12 Ru6 O27'
_cell_length_a 9.7773
_cell_length_b 9.7773
_cell_length_c 8.1186
_cell_angle_alpha 90.00
_cell_angle_beta 90.00
_cell_angle_gamma 120.00
_space_group_name_H-M_alt 'P 3 2 1'
_space_group_IT_number 150
loop_
_space_group_symop_operation_xyz
'x,y,z'
'-y,x-y,z'
'-x+y,-x,z'
'y,x,-z'
'x-y,-y,-z'
'-x,-x+y,-z'
loop_
_atom_site_label
_atom_site_fract_x
_atom_site_fract_y
_atom_site_fract_z
_atom_site_occupancy
Sr1 0.0000 0.6544 0.0000 1
Sr2 0.0000 0.6756 0.5000 1
Sr3 0.0123 0.3336 0.2522 1
Ru1 0.0000 0.0000 0.3432 1
Ru2 0.3333 0.6667 0.0997 1
Ru3 0.3333 0.6667 0.4138 1
O1 0.0000 0.1653 0.5000 1
O2 0.0101 0.8357 0.7770 1
O3 0.1500 0.6405 0.2547 1
O4 0.1775 0.4864 0.9786 1
O5 0.1797 0.4933 0.5344 1
# - energy relative to the elements, uncorrected (meV/atom) = -2031


Q: What is the energy relative to the elements, uncorrected in the third record?
A: -1570 meV/atom


Q: Look up the energy relative to the elements, uncorrected of the third one.
A: -1570 meV/atom


Q: Which formula does entry 7 have?
A: SrRuO3


Q: Which of these has the lowest energy relative to the elements, uncorrected?
A: number 5